A plane-wave DFT calculation with GGA-PBE was carried out for a geometry-optimized K3ReRh3S8 structure.

Cell lengths 7.2970, 7.2970, 8.2286 Å; angles 116.37, 116.37, 59.94 degrees
Fractional positions:
K  0.0000  0.0000  0.0000
K  0.0000  0.5000  0.0000
K  0.5000  0.0000  0.0000
Re  0.0000  0.0000  0.5000
Rh  0.0000  0.5000  0.5000
Rh  0.5000  0.0000  0.5000
Rh  0.5000  0.5000  0.5000
S  0.2260  0.2260  0.6719
S  0.2261  0.7198  0.6721
S  0.2782  0.2782  0.3346
S  0.2802  0.7739  0.3279
S  0.7198  0.2261  0.6721
S  0.7218  0.7218  0.6654
S  0.7739  0.2802  0.3279
S  0.7740  0.7740  0.3281

Values from the calculation:
* ΔE_f (raw): -0.6361 eV/atom
* total magnetic moment: 2.8 μB/f.u.
* D(E_F): 0.23 states/eV per atom
* raw total energy: -0.394 Ry per atom